{"formula": "TiFeTeS2", "functional": "GGA-PBEsol", "state": "optimized geometry", "lattice": [[-2.964, -0.665, -4.083], [3.648, -0.099, -2.632], [0.264, -4.460, 0.535]], "species": ["S", "S", "Te", "Fe", "Ti"], "fractional_positions": [[0.000, 0.000, 0.500], [0.000, 0.500, 0.000], [0.500, 0.500, 0.500], [0.500, 0.000, 0.000], [0.000, 0.000, 0.000]], "volume_a3_per_cell": 103.0, "n_ef_per_ev_cell": 5.83, "raw_formation_energy_mev_per_atom": 261}